Density functional theory data (PBE-GGA) for an optimized crystal structure of SrSm2Ga.

abc: 11.739 11.739 11.739
angles: 18.43 18.43 18.43
Element x y z (fractional)
Sr1 0.000 0.000 0.000
Sm1 0.106 0.106 0.106
Sm2 0.894 0.894 0.894
Ga1 0.500 0.500 0.500

Results
Its space group is R-3m, No. 166. The formation enthalpy at 0 K is -0.05 eV/f.u. The magnetic moment comes out at 0.0 μB per formula unit. As for the calculated density: 5.38 g cm⁻³.